No. 1
A plane-wave DFT calculation with PBE-GGA was carried out for a relaxed structure of PIrAu2.

Values from the calculation:
Volume, Å³/atom: 18.11
Uncorrected energy, eV/cell: -41.90
Fermi-level density of states, states/eV per cell: 2.0
Energy of formation, meV per atom: -31
Space group: Cm

abc: 7.2969 3.4506 6.2440
angles: 90.00 112.87 90.00
Last column: nearest neighbours and their distance in Å.
Sites, in units of the cell vectors:
Au (0.2554, 0.5000, 0.3263)  2 P 2.54, 2 Au 2.77
Au (0.5460, 0.5000, 0.8061)  3 Au 2.77-2.92, 3 Ir 2.80-2.84
P (0.9802, 0.0000, 0.1587)  3 Ir 2.25-2.27
Au (0.2554, 0.0000, 0.8263)  2 P 2.54, 2 Au 2.77
Ir (0.8345, 0.5000, 0.2686)  3 P 2.25-2.27
Au (0.5460, 0.0000, 0.3061)  3 Au 2.77-2.92, 3 Ir 2.80-2.84
Ir (0.8345, 0.0000, 0.7686)  3 P 2.25-2.27
P (0.9802, 0.5000, 0.6587)  3 Ir 2.25-2.27

---

No. 2
A plane-wave DFT calculation with PBE-GGA was carried out for a relaxed structure of Gd2HoCd.

Values from the calculation:
Volume, Å³/atom: 28.88
Uncorrected energy, eV/cell: -33.83
Distance to the lowest polymorph of the same formula, meV/atom: 99
Fermi-level density of states, states/eV per cell: 5.1
Energy of formation, meV per atom: -44
Space group: Fm-3m

abc: 5.4669 5.4669 5.4669
angles: 60.00 60.00 60.00
Last column: nearest neighbours and their distance in Å.
Sites, in units of the cell vectors:
Ho (0.0000, 0.0000, 0.0000)  8 Gd 3.35
Gd (0.7500, 0.7500, 0.7500)  4 Cd 3.35, 4 Ho 3.35
Gd (0.2500, 0.2500, 0.2500)  4 Cd 3.35, 4 Ho 3.35
Cd (0.5000, 0.5000, 0.5000)  8 Gd 3.35

---

No. 3
A plane-wave DFT calculation with PBE-GGA was carried out for a relaxed structure of AgSbS4.

Values from the calculation:
Volume, Å³/atom: 30.63
Uncorrected energy, eV/cell: -46.44
Distance to the lowest polymorph of the same formula, meV/atom: 0
Space group: P-1
Uncorrected formation energy, meV per atom: 43.7

abc: 12.5105 8.2952 8.6294
angles: 123.76 140.83 84.06
Last column: nearest neighbours and their distance in Å.
Sites, in units of the cell vectors:
S (0.1490, 0.3010, 0.9938)  1 S 2.06
Ag (0.4129, 0.1626, 0.8256)  2 S 2.48, 1 Sb 2.76
S (0.3311, 0.1751, 0.4653)  1 S 2.06
S (0.8437, 0.1916, 0.9915)  1 S 2.06
S (0.1563, 0.8084, 0.0085)  1 S 2.06
Sb (0.7999, 0.5499, 0.5997)  4 S 2.47-2.73, 1 Ag 2.76
S (0.8510, 0.6990, 0.0062)  1 S 2.06
S (0.8667, 0.2106, 0.5363)  1 S 2.06
S (0.1333, 0.7894, 0.4637)  1 S 2.06
S (0.6689, 0.8249, 0.5347)  1 S 2.06
Ag (0.5871, 0.8374, 0.1744)  2 S 2.48, 1 Sb 2.76
Sb (0.2001, 0.4501, 0.4003)  4 S 2.47-2.73, 1 Ag 2.76

---

No. 4
A plane-wave DFT calculation with PBE-GGA was carried out for a relaxed structure of CsZr3In.

Values from the calculation:
Volume, Å³/atom: 34.14
Uncorrected energy, eV/cell: -22.95
Fermi-level density of states, states/eV per cell: 10.4
Energy of formation, meV per atom: 1258
Space group: Pm-3m

abc: 5.5473 5.5473 5.5473
angles: 90.00 90.00 90.00
Last column: nearest neighbours and their distance in Å.
Sites, in units of the cell vectors:
Zr (0.0000, 0.0000, 0.5000)  2 In 2.77
Zr (0.5000, 0.0000, 0.0000)  2 In 2.77
In (0.0000, 0.0000, 0.0000)  6 Zr 2.77
Zr (0.0000, 0.5000, 0.0000)  2 In 2.77
Cs (0.5000, 0.5000, 0.5000)  12 Zr 3.92

---

No. 5
A plane-wave DFT calculation with PBE-GGA was carried out for a relaxed structure of CdSCl2.

Values from the calculation:
Volume, Å³/atom: 29.30
Uncorrected energy, eV/cell: -18.20
Distance to the lowest polymorph of the same formula, meV/atom: 0
Fermi-level density of states, states/eV per cell: 1.6
Space group: I-42d
Uncorrected formation energy, meV per atom: -91.5

abc: 9.2516 9.2516 7.0920
angles: 49.29 49.29 90.00
Last column: nearest neighbours and their distance in Å.
Sites, in units of the cell vectors:
Cd (0.0000, 0.0000, 0.0000)  4 Cl 2.63, 2 S 2.74
Cl (0.9884, 0.6250, 0.2500)  2 Cd 2.63
Cd (0.7500, 0.2500, 0.5000)  4 Cl 2.63, 2 S 2.74
S (0.5000, 0.5000, 0.0000)  2 Cd 2.74
Cl (0.7616, 0.1250, 0.2500)  2 Cd 2.63
Cl (0.8750, 0.0116, 0.7500)  2 Cd 2.63
S (0.2500, 0.7500, 0.5000)  2 Cd 2.74
Cl (0.3750, 0.2384, 0.7500)  2 Cd 2.63

---

No. 6
A plane-wave DFT calculation with PBE-GGA was carried out for a relaxed structure of SrYPdF2.

Values from the calculation:
Volume, Å³/atom: 23.32
Uncorrected energy, eV/cell: -28.68
Fermi-level density of states, states/eV per cell: 1.5
Space group: P4/mmm
Uncorrected formation energy, meV per atom: -2318.8

abc: 4.4112 5.9912 4.4112
angles: 90.00 90.00 90.00
Last column: nearest neighbours and their distance in Å.
Sites, in units of the cell vectors:
F (0.5000, 0.0000, 0.0000)  2 Y 2.21
F (0.0000, 0.0000, 0.5000)  2 Y 2.21
Pd (0.0000, 0.5000, 0.0000)  2 Y 3.00, 4 Sr 3.12
Y (0.0000, 0.0000, 0.0000)  4 F 2.21
Sr (0.5000, 0.5000, 0.5000)  4 Pd 3.12

---

No. 7
A plane-wave DFT calculation with PBE-GGA was carried out for a relaxed structure of TaZn2SnO6.

Values from the calculation:
Volume, Å³/atom: 11.86
Uncorrected energy, eV/cell: -131.80
Fermi-level density of states, states/eV per cell: 1.3
Space group: P2_1/m
Uncorrected formation energy, meV per atom: -1774.9

abc: 7.9171 5.4758 5.4716
angles: 88.37 90.00 90.00
Last column: nearest neighbours and their distance in Å.
Sites, in units of the cell vectors:
Sn (0.5000, 0.5000, 0.0000)  6 O 2.16-2.26
O (0.9321, 0.8570, 0.8209)  1 Ta 1.98, 1 Zn 2.03
O (0.4314, 0.3131, 0.6516)  1 Ta 2.00, 1 Zn 2.03
O (0.4321, 0.1430, 0.1791)  1 Ta 1.98, 1 Zn 2.03
O (0.7500, 0.1226, 0.4199)  2 Zn 2.11-2.29, 2 Ta 2.13
O (0.0686, 0.3131, 0.6516)  1 Ta 2.00, 1 Zn 2.03
O (0.5679, 0.8570, 0.8209)  1 Ta 1.98, 1 Zn 2.03
Zn (0.2500, 0.5098, 0.4726)  4 O 2.03-2.11
O (0.5686, 0.6869, 0.3484)  1 Ta 2.00, 1 Zn 2.03
Ta (0.0000, 0.0000, 0.5000)  6 O 1.98-2.13
O (0.0679, 0.1430, 0.1791)  1 Ta 1.98, 1 Zn 2.03
Zn (0.7500, 0.4902, 0.5274)  4 O 2.03-2.11
O (0.7500, 0.3821, 0.9010)  2 Zn 2.06-2.11, 2 Sn 2.16
Sn (0.0000, 0.5000, 0.0000)  6 O 2.16-2.26
O (0.2500, 0.8774, 0.5801)  2 Zn 2.11-2.29, 2 Ta 2.13
Zn (0.2500, 0.9784, 0.9826)  3 O 2.03-2.06
O (0.9314, 0.6869, 0.3484)  1 Ta 2.00, 1 Zn 2.03
Zn (0.7500, 0.0216, 0.0174)  3 O 2.03-2.06
O (0.2500, 0.6179, 0.0990)  2 Zn 2.06-2.11, 2 Sn 2.16
Ta (0.5000, 0.0000, 0.5000)  6 O 1.98-2.13

---

No. 8
A plane-wave DFT calculation with PBE-GGA was carried out for a relaxed structure of CsSb2PdI.

Values from the calculation:
Volume, Å³/atom: 60.83
Uncorrected energy, eV/cell: -8.78
Distance to the lowest polymorph of the same formula, meV/atom: 1625
Fermi-level density of states, states/eV per cell: 14.1
Space group: P4/mmm
Uncorrected formation energy, meV per atom: 1412.1

abc: 6.6154 6.6154 6.9497
angles: 90.00 90.00 90.00
Last column: nearest neighbours and their distance in Å.
Sites, in units of the cell vectors:
Cs (0.0000, 0.0000, 0.0000)  4 Sb 3.31, 2 I 3.47
Sb (0.0000, 0.5000, 0.0000)  2 Cs 3.31
I (0.0000, 0.0000, 0.5000)  2 Cs 3.47
Pd (0.5000, 0.5000, 0.5000)  4 I 4.68, 8 Sb 4.80
Sb (0.5000, 0.0000, 0.0000)  2 Cs 3.31

---

> Which value of volume does entry 3 give?

30.63 Å³/atom

---

> Which of these has the highest uncorrected energy?

CsSb2PdI

---

> Which value of volume does entry 7 give?

11.86 Å³/atom